[1]
The following is a GGA-PBE calculation of crystalline La2DyAl at its relaxed geometry, from Alexandria via LeMat-Bulk.

Calculated values
Crystal system = monoclinic
ρ = 6.6 g/cm³
DFT total energy = -4.735 eV/atom
Formation energy from the elements = -0.185 eV/atom
DOS(E_F) = 5.10 states/eV/f.u.
SG = P2_1/m, No. 11

Cell lengths 5.4073, 7.1075, 7.0767 Å; angles 119.84, 90.00, 90.00 degrees
Last column: nearest neighbours and their distance in Å.
Element x y z (fractional)
La 0.7500 0.1745 0.8589  3 La 3.23-3.45, 3 Dy 3.33-3.50, 3 Al 3.34-3.50
La 0.2500 0.8271 0.6861  3 La 3.23-3.45, 3 Dy 3.32-3.50, 3 Al 3.33-3.50
La 0.2500 0.8255 0.1411  3 La 3.23-3.45, 3 Dy 3.33-3.50, 3 Al 3.34-3.50
La 0.7500 0.1729 0.3139  3 La 3.23-3.45, 3 Dy 3.32-3.50, 3 Al 3.33-3.50
Al 0.7500 0.6478 0.8235  4 Dy 3.25-3.55, 8 La 3.33-3.63
Al 0.2500 0.3522 0.1765  4 Dy 3.25-3.55, 8 La 3.33-3.63
Dy 0.7500 0.6454 0.3241  4 Al 3.25-3.55, 6 La 3.32-3.50
Dy 0.2500 0.3546 0.6759  4 Al 3.25-3.55, 6 La 3.32-3.50

[2]
The following is a GGA-PBE calculation of crystalline NdHo3Ge2 at its relaxed geometry, from Alexandria via LeMat-Bulk.

Calculated values
Crystal system = monoclinic
ρ = 8.2 g/cm³
DFT total energy = -5.200 eV/atom
Formation energy from the elements = -0.578 eV/atom
DOS(E_F) = 5.32 states/eV/f.u.
SG = C2/m, No. 12

Cell lengths 4.3249, 10.1575, 9.2841 Å; angles 125.86, 90.00, 102.29 degrees
Last column: nearest neighbours and their distance in Å.
Element x y z (fractional)
Ho 0.3085 0.6170 0.4999  3 Ge 2.98-3.04, 4 Ho 3.17-3.23
Ho 0.9509 0.9018 0.5962  3 Ge 2.91-3.19, 2 Ho 3.23
Ho 0.6915 0.3830 0.5001  3 Ge 2.98-3.04, 4 Ho 3.17-3.23
Ho 0.0491 0.0982 0.4038  3 Ge 2.91-3.19, 2 Ho 3.23
Ho 0.6506 0.3012 0.8195  3 Ge 3.00-3.09
Ho 0.3494 0.6988 0.1805  3 Ge 3.00-3.09
Ge 0.5122 0.0245 0.1569  1 Ge 2.65, 2 Ho 2.91
Ge 0.4878 0.9755 0.8431  1 Ge 2.65, 2 Ho 2.91
Ge 0.2376 0.4753 0.7646  6 Ho 2.98-3.19, 2 Nd 3.22
Ge 0.7624 0.5247 0.2354  6 Ho 2.98-3.19, 2 Nd 3.22
Nd 0.1148 0.2297 0.0951  6 Ge 3.07-3.25, 1 Ho 3.40
Nd 0.8852 0.7703 0.9049  6 Ge 3.07-3.25, 1 Ho 3.40

[3]
The following is a GGA-PBE calculation of crystalline TeAsPdI2 at its relaxed geometry, from Alexandria via LeMat-Bulk.

Calculated values
Crystal system = tetragonal
ρ = 6.1 g/cm³
DFT total energy = -2.718 eV/atom
DOS(E_F) = 4.56 states/eV/f.u.
SG = P4/mmm, No. 123

Cell lengths 5.3547, 5.3547, 5.3630 Å; angles 90.00, 90.00, 90.00 degrees
Last column: nearest neighbours and their distance in Å.
Element x y z (fractional)
I 0.5000 0.0000 0.0000  2 Pd 2.68
I 0.0000 0.5000 0.0000  2 Pd 2.68
As 0.5000 0.5000 0.5000  4 Te 3.79, 8 I 3.79
Pd 0.0000 0.0000 0.0000  4 I 2.68, 2 Te 2.68
Te 0.0000 0.0000 0.5000  2 Pd 2.68